# 1
Entry from the Alexandria database: a relaxed PrSm6Mg2 crystal (PBE).

Summary:
- Space group: Cmcm, No. 63
- Energy of formation: 0.098 eV per atom
- E_tot: -35.4 eV per formula unit
- Crystal system: orthorhombic

a b c (Å): 5.2082 11.2047 11.2047
angles (deg): 63.16 89.98 89.98
Fractional coordinates of all 18 atoms:
Pr  0.2500  0.2528  0.7472
Pr  0.7500  0.7472  0.2528
Sm  0.2499  0.7124  0.4893
Sm  0.2501  0.5107  0.2876
Sm  0.7501  0.2876  0.5107
Sm  0.7499  0.4893  0.7124
Sm  0.7495  0.9858  0.3850
Sm  0.7505  0.6150  0.0142
Sm  0.2505  0.0142  0.6150
Sm  0.2495  0.3850  0.9858
Sm  0.2504  0.8293  0.9965
Sm  0.2496  0.0035  0.1707
Sm  0.7496  0.1707  0.0035
Sm  0.7504  0.9965  0.8293
Mg  0.2508  0.6877  0.7933
Mg  0.2492  0.2067  0.3123
Mg  0.7492  0.3123  0.2067
Mg  0.7508  0.7933  0.6877


# 2
Entry from the Alexandria database: a relaxed Pr5SmMg4 crystal (PBE).

Summary:
- Space group: P4/mmm, No. 123
- Energy of formation: -0.082 eV per atom
- E_tot: -35.8 eV per formula unit
- Crystal system: tetragonal

a b c (Å): 3.8583 3.8583 20.8852
angles (deg): 90.00 90.00 90.00
Fractional coordinates of all 10 atoms:
Pr  0.5000  0.5000  0.1186
Pr  0.5000  0.5000  0.3102
Pr  0.5000  0.5000  0.5000
Pr  0.5000  0.5000  0.6898
Pr  0.5000  0.5000  0.8814
Sm  0.0000  0.0000  0.0000
Mg  0.0000  0.0000  0.2142
Mg  0.0000  0.0000  0.4049
Mg  0.0000  0.0000  0.5951
Mg  0.0000  0.0000  0.7858


# 3
Entry from the Alexandria database: a relaxed Pr3Sm2Mg crystal (PBE).

Summary:
- Space group: Cmmm, No. 65
- Energy of formation: 0.006 eV per atom
- E_tot: -25.3 eV per formula unit
- Crystal system: orthorhombic

a b c (Å): 5.0477 5.0994 8.1983
angles (deg): 108.12 90.00 90.00
Fractional coordinates of all 6 atoms:
Pr  0.5000  0.1677  0.3355
Pr  0.5000  0.5000  0.0000
Pr  0.5000  0.8323  0.6645
Sm  0.0000  0.6653  0.3306
Sm  0.0000  0.3347  0.6694
Mg  0.0000  0.0000  0.0000


# 4
Entry from the Alexandria database: a relaxed Pr5Sm3Mg crystal (PBE).

Summary:
- Space group: C2/m, No. 12
- Energy of formation: 0.387 eV per atom
- E_tot: -36.2 eV per formula unit
- Crystal system: monoclinic

a b c (Å): 9.5023 9.5023 12.3716
angles (deg): 53.47 53.47 53.89
Fractional coordinates of all 18 atoms:
Pr  0.8985  0.5107  0.2313
Pr  0.3174  0.6826  0.0000
Pr  0.6510  0.6510  0.0385
Pr  0.4395  0.4395  0.4142
Pr  0.5605  0.5605  0.5858
Pr  0.3490  0.3490  0.9615
Pr  0.5107  0.8985  0.2313
Pr  0.6826  0.3174  0.0000
Pr  0.1015  0.4893  0.7687
Pr  0.4893  0.1015  0.7687
Sm  0.7126  0.7126  0.6956
Sm  0.8415  0.8415  0.3475
Sm  0.0000  0.0000  0.0000
Sm  0.0000  0.0000  0.5000
Sm  0.2874  0.2874  0.3044
Sm  0.1585  0.1585  0.6525
Mg  0.8967  0.8967  0.8602
Mg  0.1033  0.1033  0.1398